SrY2Tl | PBE | optimized geometry

Results
- D(E_F): 5.503 states/eV/f.u.
- ΔE to the lowest computed polymorph: 202 meV/atom
- DFT total energy: -50.36 eV/cell
- Energy relative to the elements: 0.0475 eV/atom

Structure (CIF):
```
data_SrY2Tl
_cell_length_a 5.2278
_cell_length_b 5.2278
_cell_length_c 18.8429
_cell_angle_alpha 90.00
_cell_angle_beta 90.00
_cell_angle_gamma 120.00
_space_group_name_H-M_alt 'R 3 m'
_space_group_IT_number 160
_space_group_name_Hall 'R 3 -2"'
loop_
_atom_site_label
_atom_site_fract_x
_atom_site_fract_y
_atom_site_fract_z
Sr1 0.0000 0.0000 0.0000
Y1 0.0000 0.0000 0.2118
Y2 0.0000 0.0000 0.4442
Tl1 0.0000 0.0000 0.8088
```